CaMg6Zn6: relaxed, PBE.

Properties
As for the magnetization: 0.0 μB per cell. The crystal system is hexagonal. For the formation energy, the calculation gives -22 meV per atom. The calculation puts the density of states at the Fermi level at 6.5 states/eV per cell. The energy relative to the lowest polymorph listed for this composition is 119 meV per atom.

a = 5.8550 Å, b = 5.8548 Å, c = 9.1217 Å
α = 90.00°, β = 90.00°, γ = 120.01°
Fractional coordinates of all 13 atoms:
Mg (0.0000, 0.5000, 0.2510)
Mg (0.5000, 0.5000, 0.2509)
Mg (0.5000, 0.0000, 0.2510)
Mg (0.5000, 0.5000, 0.7491)
Mg (0.0000, 0.5000, 0.7490)
Mg (0.5000, 0.0000, 0.7490)
Zn (0.0000, 0.0000, 0.3576)
Zn (0.0000, 0.0000, 0.6424)
Zn (0.6667, 0.3333, 0.0000)
Zn (0.3333, 0.6667, 0.0000)
Zn (0.6667, 0.3336, 0.5000)
Zn (0.3333, 0.6664, 0.5000)
Ca (0.0000, 0.0000, 0.0000)


HgGe: relaxed, PBE.

Properties
As for the magnetization: 0.0 μB per cell. The crystal system is cubic. For the formation energy, the calculation gives 372 meV per atom. The calculation puts the density of states at the Fermi level at 7.8 states/eV per cell. The energy relative to the lowest polymorph listed for this composition is 222 meV per atom.

a = 8.6293 Å, b = 8.6293 Å, c = 8.6293 Å
α = 90.00°, β = 90.00°, γ = 90.00°
Fractional coordinates of all 16 atoms:
Hg (0.2944, 0.2944, 0.2944)
Hg (0.2944, 0.7056, 0.7056)
Hg (0.7056, 0.2944, 0.7056)
Hg (0.7056, 0.7056, 0.2944)
Hg (0.7944, 0.7944, 0.7944)
Hg (0.7944, 0.2056, 0.2056)
Hg (0.2056, 0.7944, 0.2056)
Hg (0.2056, 0.2056, 0.7944)
Ge (0.1121, 0.1121, 0.1121)
Ge (0.1121, 0.8879, 0.8879)
Ge (0.8879, 0.1121, 0.8879)
Ge (0.8879, 0.8879, 0.1121)
Ge (0.6121, 0.6121, 0.6121)
Ge (0.6121, 0.3879, 0.3879)
Ge (0.3879, 0.6121, 0.3879)
Ge (0.3879, 0.3879, 0.6121)


Mg2TlHg: relaxed, PBE.

Properties
As for the magnetization: 0.0 μB per cell. The crystal system is tetragonal. For the formation energy, the calculation gives -49 meV per atom. The calculation puts the density of states at the Fermi level at 1.4 states/eV per cell.

a = 3.3912 Å, b = 3.3912 Å, c = 8.5477 Å
α = 90.00°, β = 90.00°, γ = 90.00°
Fractional coordinates of all 4 atoms:
Hg (0.5000, 0.5000, 0.7824)
Mg (0.0000, 0.0000, 0.9878)
Mg (0.5000, 0.5000, 0.2325)
Tl (0.0000, 0.0000, 0.4973)